(1)
DFT (GGA-PBE) results for crystalline ZrCoRu at its relaxed geometry.

Lattice parameters (Å, degrees): 2.8322 2.8322 6.7789 90.00 90.00 120.00
Space group P3m1 (No. 156)
Symmetry-distinct sites (fractional):
Zr1 0.0000 0.0000 0.0000 [1 per cell]
Co1 0.3333 0.6667 0.3481 [1 per cell]
Ru1 0.6667 0.3333 0.6373 [1 per cell]

Computed properties:
V   15.7 Å³ per atom
Formation energy   0.30 eV per atom
Uncorrected energy   -8.01 eV/atom
Energy above the lowest structure with this stoichiometry   425 meV per atom
Calculated density   8.86 g/cm³


(2)
DFT (GGA-PBE) results for crystalline BeTe2Se at its relaxed geometry.

Lattice parameters (Å, degrees): 3.351 3.351 7.981 90.00 90.00 90.00
Space group P4/mmm (No. 123)
Symmetry-distinct sites (fractional):
Be1 0.000 0.000 0.000 [1 per cell]
Te1 0.500 0.500 0.183 [2 per cell]
Se1 0.000 0.000 0.500 [1 per cell]

Computed properties:
V   22.4 Å³ per atom
Uncorrected energy   -2.92 eV/atom
Energy above the lowest structure with this stoichiometry   453 meV per atom
Calculated density   6.36 g/cm³


(3)
DFT (GGA-PBE) results for crystalline TmPaIn2O8 at its relaxed geometry.

Lattice parameters (Å, degrees): 6.987 6.987 7.364 90.00 90.00 90.00
Space group I-4m2 (No. 119)
Symmetry-distinct sites (fractional):
Tm1 0.000 0.000 0.000 [2 per cell]
Pa1 0.000 0.500 0.250 [2 per cell]
In1 0.000 0.000 0.500 [2 per cell]
In2 0.000 0.500 0.750 [2 per cell]
O1 0.000 0.193 0.290 [8 per cell]
O2 0.000 0.315 0.966 [8 per cell]

Computed properties:
V   15.0 Å³ per atom
Uncorrected energy   -7.07 eV/atom
Calculated density   7.00 g/cm³


(4)
DFT (GGA-PBE) results for crystalline ZnRh2Pb at its relaxed geometry.

Lattice parameters (Å, degrees): 9.764 3.124 4.561 90.00 105.17 90.00
Space group Cm (No. 8)
Symmetry-distinct sites (fractional):
Zn1 0.000 0.000 0.000 [2 per cell]
Rh1 0.007 0.500 0.516 [2 per cell]
Rh2 0.264 0.000 0.903 [2 per cell]
Pb1 0.263 0.500 0.397 [2 per cell]

Computed properties:
V   16.8 Å³ per atom
Formation energy   -0.06 eV per atom
Uncorrected energy   -4.98 eV/atom
Calculated density   11.83 g/cm³


(5)
DFT (GGA-PBE) results for crystalline ErTl2GeSe4 at its relaxed geometry.

Lattice parameters (Å, degrees): 7.217 4.044 7.925 90.00 107.50 90.00
Space group P2/m (No. 10)
Symmetry-distinct sites (fractional):
Er1 0.000 0.000 0.000 [1 per cell]
Tl1 0.000 0.500 0.500 [1 per cell]
Tl2 0.500 0.000 0.500 [1 per cell]
Ge1 0.500 0.500 0.000 [1 per cell]
Se1 0.241 0.500 0.202 [2 per cell]
Se2 0.269 0.000 0.799 [2 per cell]

Computed properties:
V   27.6 Å³ per atom
Uncorrected energy   -4.27 eV/atom
Calculated density   7.26 g/cm³


(6)
DFT (GGA-PBE) results for crystalline BeAl3Re at its relaxed geometry.

Lattice parameters (Å, degrees): 4.202 4.202 4.202 90.00 90.00 90.00
Space group Pm-3m (No. 221)
Symmetry-distinct sites (fractional):
Be1 0.000 0.000 0.000 [1 per cell]
Al1 0.000 0.000 0.500 [3 per cell]
Re1 0.500 0.500 0.500 [1 per cell]

Computed properties:
V   14.8 Å³ per atom
Formation energy   0.84 eV per atom
Uncorrected energy   -4.64 eV/atom
Energy above the lowest structure with this stoichiometry   5 meV per atom
Calculated density   6.18 g/cm³


Copy entry 2 word for word.
DFT (GGA-PBE) results for crystalline BeTe2Se at its relaxed geometry.

Lattice parameters (Å, degrees): 3.351 3.351 7.981 90.00 90.00 90.00
Space group P4/mmm (No. 123)
Symmetry-distinct sites (fractional):
Be1 0.000 0.000 0.000 [1 per cell]
Te1 0.500 0.500 0.183 [2 per cell]
Se1 0.000 0.000 0.500 [1 per cell]

Computed properties:
V   22.4 Å³ per atom
Uncorrected energy   -2.92 eV/atom
Energy above the lowest structure with this stoichiometry   453 meV per atom
Calculated density   6.36 g/cm³


Repeat the first record exactly.
DFT (GGA-PBE) results for crystalline ZrCoRu at its relaxed geometry.

Lattice parameters (Å, degrees): 2.8322 2.8322 6.7789 90.00 90.00 120.00
Space group P3m1 (No. 156)
Symmetry-distinct sites (fractional):
Zr1 0.0000 0.0000 0.0000 [1 per cell]
Co1 0.3333 0.6667 0.3481 [1 per cell]
Ru1 0.6667 0.3333 0.6373 [1 per cell]

Computed properties:
V   15.7 Å³ per atom
Formation energy   0.30 eV per atom
Uncorrected energy   -8.01 eV/atom
Energy above the lowest structure with this stoichiometry   425 meV per atom
Calculated density   8.86 g/cm³


> Which of these has the highest calculated density?

ZnRh2Pb


> Number 5 is which compound?

ErTl2GeSe4